Computed, not measured: a relaxed structure of CsMnFeF6 at the GGA+U level of DFT.

Cell: 7.6048 7.6311 10.7835 Å, 90.00 90.00 90.00°
Closest atoms and distances in Å follow each position.
Space group Imma (No. 74)
Symmetry-distinct sites (fractional):
Cs (0.0000, 0.2500, 0.1210) [4 per cell]  5 F 3.12-3.28
Mn (0.2500, 0.2500, 0.7500) [4 per cell]  6 F 2.10-2.17
Fe (0.0000, 0.0000, 0.5000) [4 per cell]  6 F 1.94-1.99
F (0.0000, 0.2500, 0.4487) [4 per cell]  2 Fe 1.99
F (0.0000, 0.2500, 0.8321) [4 per cell]  2 Mn 2.10
F (0.1826, 0.0404, 0.6226) [16 per cell]  1 Fe 1.94, 1 Mn 2.17

- offset from the most stable computed form (meV/atom) = 0.0
- E (eV/cell) = -197.29
- size of the total moment (μB/f.u.) = 10.000